Compound: CuMoP2O
Source: Alexandria
Functional: GGA+U
Structure: relaxed

Unit cell a=4.661 b=4.661 c=3.574 alpha=90.00 beta=90.00 gamma=90.00
Fractional coordinates of all 5 atoms:
P: 0.000 0.500 0.000
P: 0.500 0.000 0.000
Mo: 0.500 0.500 0.500
O: 0.000 0.000 0.500
Cu: 0.000 0.000 0.000

## Properties
For the total magnetization, the calculation gives 2.880 μB/cell. The density comes out at 5.08 g/cm³. The value obtained for the uncorrected energy is -0.35474 Ry/atom.